(1)
Material: Hg2Pt
Method: DFT, PBE-GGA
State: optimized geometry

Values from the calculation:
Its crystal system is monoclinic. For the formation energy, the calculation gives 0.17 eV per atom. The energy above the most stable polymorph in this dataset is 0.234 eV/atom.

Cell and atoms, written as extended XYZ:
```
3
Lattice="4.097 -2.362 0.000 4.097 2.362 0.000 -0.010 0.000 3.062" Properties=species:S:1:pos:R:3 pbc="T T T"
Hg 1.363 0.000 0.620
Hg 6.822 0.000 2.442
Pt 4.092 0.000 1.531
```

***

(2)
Material: CuIrO3
Method: DFT, PBE-GGA
State: optimized geometry

Values from the calculation:
Its crystal system is cubic. The formation energy (no corrections) comes out at -0.03 eV/atom.

Cell and atoms, written as extended XYZ:
```
5
Lattice="3.851 0.000 0.000 0.000 3.851 0.000 0.000 0.000 3.851" Properties=species:S:1:pos:R:3 pbc="T T T"
Cu 0.000 0.000 0.000
Ir 1.925 1.925 1.925
O 0.000 1.925 1.925
O 1.925 0.000 1.925
O 1.925 1.925 0.000
```

***

(3)
Material: Rb3PbS3
Method: DFT, PBE-GGA
State: optimized geometry

Values from the calculation:
Its crystal system is monoclinic. The formation energy (no corrections) comes out at -0.84 eV/atom.

Cell and atoms, written as extended XYZ:
```
28
Lattice="9.628 0.000 0.000 0.000 8.377 0.000 -1.254 0.000 13.186" Properties=species:S:1:pos:R:3 pbc="T T T"
Rb 0.589 1.312 1.780
Rb -0.038 2.877 8.373
Rb 2.265 6.136 10.534
Rb 2.892 6.430 3.941
Rb 2.620 1.916 12.181
Rb 3.247 2.272 5.588
Rb 5.126 6.105 7.598
Rb 5.754 6.461 1.005
Rb 5.481 1.947 9.245
Rb 6.109 2.241 2.652
Rb 8.412 5.500 4.813
Rb 7.785 7.065 11.406
Pb 1.518 4.993 0.766
Pb 0.891 7.573 7.360
Pb 7.483 0.804 5.827
Pb 6.856 3.384 12.420
S 0.541 0.307 4.928
S -0.086 3.882 11.522
S 1.869 5.165 6.916
S 2.496 7.400 0.323
S 2.599 0.637 8.706
S 3.226 3.552 2.113
S 5.148 4.825 11.074
S 5.775 7.740 4.481
S 5.878 0.977 12.864
S 6.505 3.212 6.270
S 8.460 4.495 1.665
S 7.833 8.070 8.258
```

***

(4)
Material: Th3CuPt12
Method: DFT, PBE-GGA
State: optimized geometry

Values from the calculation:
Its crystal system is tetragonal. For the formation energy, the calculation gives -0.85 eV per atom.

Cell and atoms, written as extended XYZ:
```
16
Lattice="4.207 0.000 0.000 0.000 4.207 0.000 0.000 0.000 16.321" Properties=species:S:1:pos:R:3 pbc="T T T"
Th 0.000 0.000 0.000
Th 0.000 0.000 4.326
Th 0.000 0.000 11.995
Cu 0.000 0.000 8.160
Pt 0.000 2.103 2.123
Pt 0.000 2.103 6.373
Pt 0.000 2.103 9.948
Pt 0.000 2.103 14.198
Pt 2.103 0.000 2.123
Pt 2.103 0.000 6.373
Pt 2.103 0.000 9.948
Pt 2.103 0.000 14.198
Pt 2.103 2.103 0.000
Pt 2.103 2.103 4.222
Pt 2.103 2.103 8.160
Pt 2.103 2.103 12.099
```

***

(5)
Material: NaCa2AlH
Method: DFT, PBE-GGA
State: optimized geometry

Values from the calculation:
Its crystal system is tetragonal. As for the final energy: -0.195 Ry/atom.

Cell and atoms, written as extended XYZ:
```
5
Lattice="4.996 0.000 0.000 0.000 4.996 0.000 0.000 0.000 4.582" Properties=species:S:1:pos:R:3 pbc="T T T"
Na 0.000 0.000 0.000
Ca 0.000 2.498 2.291
Ca 2.498 0.000 2.291
Al 2.498 2.498 0.000
H 0.000 0.000 2.291
```

***

(6)
Material: Sr3Si2Ge4
Method: DFT, PBE-GGA
State: optimized geometry

Values from the calculation:
Its crystal system is monoclinic. The energy above the most stable polymorph in this dataset is 0.042 eV/atom. The formation energy (no corrections) comes out at -0.36 eV/atom.

Cell and atoms, written as extended XYZ:
```
9
Lattice="5.891 -2.210 0.000 5.891 2.210 0.000 -2.770 0.000 8.542" Properties=species:S:1:pos:R:3 pbc="T T T"
Sr 0.000 0.000 0.000
Sr 3.757 0.000 2.625
Sr 5.256 0.000 5.917
Si 1.697 0.000 5.479
Si 7.315 0.000 3.064
Ge 0.233 0.000 3.370
Ge 0.766 0.000 7.971
Ge 8.246 0.000 0.571
Ge 8.780 0.000 5.172
```

***

(7)
Material: Ac2PuMg2Bi4
Method: DFT, PBE-GGA
State: optimized geometry

Values from the calculation:
Its crystal system is monoclinic. For the formation energy, the calculation gives -0.57 eV per atom.

Cell and atoms, written as extended XYZ:
```
9
Lattice="8.394 -2.319 0.000 8.394 2.319 0.000 -2.723 0.000 7.700" Properties=species:S:1:pos:R:3 pbc="T T T"
Ac 1.950 0.000 0.567
Ac 12.115 0.000 7.132
Pu -1.362 0.000 3.850
Mg 4.086 0.000 3.891
Mg 9.978 0.000 3.809
Bi 1.550 0.000 5.629
Bi 6.182 0.000 5.927
Bi 7.883 0.000 1.773
Bi 12.515 0.000 2.071
```

***

(8)
Material: PmMg3Cd3
Method: DFT, PBE-GGA
State: optimized geometry

Values from the calculation:
Its crystal system is cubic. For the formation energy, the calculation gives -0.13 eV per atom. The energy above the most stable polymorph in this dataset is 0.000 eV/atom.

Cell and atoms, written as extended XYZ:
```
28
Lattice="8.775 0.000 0.000 0.000 8.775 0.000 0.000 0.000 8.775" Properties=species:S:1:pos:R:3 pbc="T T T"
Pm 0.436 3.951 4.823
Pm 3.951 4.823 0.436
Pm 4.823 0.436 3.951
Pm 8.339 8.339 8.339
Mg 1.133 5.520 7.642
Mg 1.509 1.509 1.509
Mg 1.686 7.089 2.701
Mg 2.701 1.686 7.089
Mg 2.879 7.266 5.896
Mg 3.255 3.255 3.255
Mg 5.520 7.642 1.133
Mg 5.896 2.879 7.266
Mg 6.073 6.073 6.073
Mg 7.089 2.701 1.686
Mg 7.266 5.896 2.879
Mg 7.642 1.133 5.520
Cd 0.070 2.745 7.915
Cd 0.859 4.458 1.642
Cd 1.642 0.859 4.458
Cd 2.745 7.915 0.070
Cd 3.528 4.317 6.029
Cd 4.317 6.029 3.528
Cd 4.458 1.642 0.859
Cd 5.247 8.705 7.133
Cd 6.029 3.528 4.317
Cd 7.133 5.247 8.705
Cd 7.915 0.070 2.745
Cd 8.705 7.133 5.247
```

***

What did the first record say?
Material: Hg2Pt
Method: DFT, PBE-GGA
State: optimized geometry

Values from the calculation:
Its crystal system is monoclinic. For the formation energy, the calculation gives 0.17 eV per atom. The energy above the most stable polymorph in this dataset is 0.234 eV/atom.

Cell and atoms, written as extended XYZ:
```
3
Lattice="4.097 -2.362 0.000 4.097 2.362 0.000 -0.010 0.000 3.062" Properties=species:S:1:pos:R:3 pbc="T T T"
Hg 1.363 0.000 0.620
Hg 6.822 0.000 2.442
Pt 4.092 0.000 1.531
```

***

What did the first record say?
Material: Hg2Pt
Method: DFT, PBE-GGA
State: optimized geometry

Values from the calculation:
Its crystal system is monoclinic. For the formation energy, the calculation gives 0.17 eV per atom. The energy above the most stable polymorph in this dataset is 0.234 eV/atom.

Cell and atoms, written as extended XYZ:
```
3
Lattice="4.097 -2.362 0.000 4.097 2.362 0.000 -0.010 0.000 3.062" Properties=species:S:1:pos:R:3 pbc="T T T"
Hg 1.363 0.000 0.620
Hg 6.822 0.000 2.442
Pt 4.092 0.000 1.531
```

***

Repeat the third record exactly.
Material: Rb3PbS3
Method: DFT, PBE-GGA
State: optimized geometry

Values from the calculation:
Its crystal system is monoclinic. The formation energy (no corrections) comes out at -0.84 eV/atom.

Cell and atoms, written as extended XYZ:
```
28
Lattice="9.628 0.000 0.000 0.000 8.377 0.000 -1.254 0.000 13.186" Properties=species:S:1:pos:R:3 pbc="T T T"
Rb 0.589 1.312 1.780
Rb -0.038 2.877 8.373
Rb 2.265 6.136 10.534
Rb 2.892 6.430 3.941
Rb 2.620 1.916 12.181
Rb 3.247 2.272 5.588
Rb 5.126 6.105 7.598
Rb 5.754 6.461 1.005
Rb 5.481 1.947 9.245
Rb 6.109 2.241 2.652
Rb 8.412 5.500 4.813
Rb 7.785 7.065 11.406
Pb 1.518 4.993 0.766
Pb 0.891 7.573 7.360
Pb 7.483 0.804 5.827
Pb 6.856 3.384 12.420
S 0.541 0.307 4.928
S -0.086 3.882 11.522
S 1.869 5.165 6.916
S 2.496 7.400 0.323
S 2.599 0.637 8.706
S 3.226 3.552 2.113
S 5.148 4.825 11.074
S 5.775 7.740 4.481
S 5.878 0.977 12.864
S 6.505 3.212 6.270
S 8.460 4.495 1.665
S 7.833 8.070 8.258
```